Be3PN: relaxed, PBE-GGA.

Output
ΔE to the lowest computed polymorph ... 1467 meV per atom
Volume ... 61.12 Å³/cell
DFT total energy ... -19.06 eV for the cell shown
Space-group type ... Pm-3m (221)

abc: 3.9392 3.9392 3.9392
angles: 90.00 90.00 90.00
Positions (direct):
Be: 0.5000 0.0000 0.0000
Be: 0.0000 0.5000 0.0000
Be: 0.0000 0.0000 0.5000
P: 0.0000 0.0000 0.0000
N: 0.5000 0.5000 0.5000